A geometry-optimized PbBr3N structure. Source: Alexandria via LeMat-Bulk, functional PBE-GGA. Values from VASP.

Cell and atoms, written as Quantum ESPRESSO input:
```
&SYSTEM
  ibrav = 0, nat = 10, ntyp = 3
/
ATOMIC_SPECIES
Pb 207.20 Pb.upf
Br 79.90 Br.upf
N 14.01 N.upf
ATOMIC_POSITIONS angstrom
Pb 0.000 0.000 0.000
Pb 3.103 2.811 0.306
Br 1.893 4.476 8.569
Br 2.483 5.120 2.185
Br 3.180 0.479 9.031
Br 3.944 0.631 2.287
Br 5.596 2.475 8.467
Br 6.359 2.626 1.724
N 0.727 3.389 5.194
N 3.659 6.204 5.563
CELL_PARAMETERS angstrom
5.968 0.000 0.000
0.805 6.490 0.000
0.467 0.295 10.449
```

The distance to the lowest polymorph of the same formula comes out at 0.53 eV/f.u. As for the space-group type: No. 1.

---

A geometry-optimized Pb2BrN structure. Source: Alexandria via LeMat-Bulk, functional PBE-GGA. Values from VASP.

Cell and atoms, written as Quantum ESPRESSO input:
```
&SYSTEM
  ibrav = 0, nat = 4, ntyp = 3
/
ATOMIC_SPECIES
Pb 207.20 Pb.upf
Br 79.90 Br.upf
N 14.01 N.upf
ATOMIC_POSITIONS angstrom
Pb 1.798 1.798 1.798
Pb 5.393 5.393 5.393
Br 0.000 0.000 0.000
N 3.596 3.596 3.596
CELL_PARAMETERS angstrom
0.000 3.596 3.596
3.596 0.000 3.596
3.596 3.596 0.000
```

The distance to the lowest polymorph of the same formula comes out at 2.38 eV/f.u. As for the space-group type: No. 225.

---

A geometry-optimized PbBr3N2 structure. Source: Alexandria via LeMat-Bulk, functional PBE-GGA. Values from VASP.

Cell and atoms, written as Quantum ESPRESSO input:
```
&SYSTEM
  ibrav = 0, nat = 12, ntyp = 3
/
ATOMIC_SPECIES
Pb 207.20 Pb.upf
Br 79.90 Br.upf
N 14.01 N.upf
ATOMIC_POSITIONS angstrom
Pb 5.572 2.303 6.319
Pb 7.638 -2.303 2.106
Br 0.359 0.042 5.037
Br 2.424 -0.042 0.824
Br 7.638 0.608 2.106
Br 5.572 -0.608 6.319
Br 10.786 0.042 7.602
Br 12.851 -0.042 3.389
N 1.455 0.678 2.176
N -0.610 -0.678 6.389
N 13.820 0.678 2.037
N 11.755 -0.678 6.250
CELL_PARAMETERS angstrom
8.670 -2.955 0.000
8.670 2.955 0.000
-4.130 0.000 8.426
```

As for the space-group type: No. 15.

---

A geometry-optimized PbBr2N structure. Source: Alexandria via LeMat-Bulk, functional PBE-GGA. Values from VASP.

Cell and atoms, written as Quantum ESPRESSO input:
```
&SYSTEM
  ibrav = 0, nat = 8, ntyp = 3
/
ATOMIC_SPECIES
Pb 207.20 Pb.upf
Br 79.90 Br.upf
N 14.01 N.upf
ATOMIC_POSITIONS angstrom
Pb 1.195 1.195 1.195
Pb 8.362 8.362 8.362
Br 4.778 2.389 2.389
Br 2.389 4.778 2.389
Br 2.389 2.389 4.778
Br 4.778 4.778 4.778
N 3.584 3.584 3.584
N 5.973 5.973 5.973
CELL_PARAMETERS angstrom
0.000 4.778 4.778
4.778 0.000 4.778
4.778 4.778 0.000
```

The distance to the lowest polymorph of the same formula comes out at 1.09 eV/f.u. As for the space-group type: No. 227.

---

A geometry-optimized PbBr2N2 structure. Source: Alexandria via LeMat-Bulk, functional PBE-GGA. Values from VASP.

Cell and atoms, written as Quantum ESPRESSO input:
```
&SYSTEM
  ibrav = 0, nat = 5, ntyp = 3
/
ATOMIC_SPECIES
Pb 207.20 Pb.upf
Br 79.90 Br.upf
N 14.01 N.upf
ATOMIC_POSITIONS angstrom
Pb 0.000 0.000 0.000
Br 2.594 0.000 1.658
Br 4.069 0.000 8.811
N -0.170 0.000 4.842
N 6.834 0.000 5.627
CELL_PARAMETERS angstrom
3.897 -2.244 0.000
3.897 2.244 0.000
-1.131 0.000 10.469
```

The distance to the lowest polymorph of the same formula comes out at 0.00 eV/f.u. As for the space-group type: No. 12.

---

A geometry-optimized PbBr2N structure. Source: Alexandria via LeMat-Bulk, functional PBE-GGA. Values from VASP.

Cell and atoms, written as Quantum ESPRESSO input:
```
&SYSTEM
  ibrav = 0, nat = 8, ntyp = 3
/
ATOMIC_SPECIES
Pb 207.20 Pb.upf
Br 79.90 Br.upf
N 14.01 N.upf
ATOMIC_POSITIONS angstrom
Pb 3.257 0.000 1.953
Pb 11.177 0.000 6.234
Br 2.195 0.000 5.055
Br 5.113 0.000 7.949
Br 9.321 0.000 0.238
Br 12.239 0.000 3.132
N 0.481 0.000 2.243
N 13.953 0.000 5.944
CELL_PARAMETERS angstrom
7.308 -2.288 0.000
7.308 2.288 0.000
-0.183 0.000 8.187
```

The distance to the lowest polymorph of the same formula comes out at 0.00 eV/f.u. As for the space-group type: No. 12.

---

A geometry-optimized PbBr3N structure. Source: Alexandria via LeMat-Bulk, functional PBE-GGA. Values from VASP.

Cell and atoms, written as Quantum ESPRESSO input:
```
&SYSTEM
  ibrav = 0, nat = 5, ntyp = 3
/
ATOMIC_SPECIES
Pb 207.20 Pb.upf
Br 79.90 Br.upf
N 14.01 N.upf
ATOMIC_POSITIONS angstrom
Pb 0.000 0.000 0.000
Br 0.000 2.430 2.430
Br 2.430 0.000 2.430
Br 2.430 2.430 0.000
N 2.430 2.430 2.430
CELL_PARAMETERS angstrom
4.860 0.000 0.000
0.000 4.860 0.000
0.000 0.000 4.860
```

The distance to the lowest polymorph of the same formula comes out at 0.00 eV/f.u. As for the space-group type: No. 221.

---

A geometry-optimized PbBrN structure. Source: Alexandria via LeMat-Bulk, functional PBE-GGA. Values from VASP.

Cell and atoms, written as Quantum ESPRESSO input:
```
&SYSTEM
  ibrav = 0, nat = 6, ntyp = 3
/
ATOMIC_SPECIES
Pb 207.20 Pb.upf
Br 79.90 Br.upf
N 14.01 N.upf
ATOMIC_POSITIONS angstrom
Pb 0.333 0.036 4.228
Pb 4.726 4.443 7.468
Br 2.557 2.245 7.907
Br 2.502 2.234 3.789
N 1.766 0.313 0.211
N 3.293 4.165 11.485
CELL_PARAMETERS angstrom
4.350 0.000 0.000
0.002 4.398 0.000
0.707 0.080 11.696
```

As for the space-group type: No. 2.

---

A geometry-optimized Pb2Br3N2 structure. Source: Alexandria via LeMat-Bulk, functional PBE-GGA. Values from VASP.

Cell and atoms, written as Quantum ESPRESSO input:
```
&SYSTEM
  ibrav = 0, nat = 7, ntyp = 3
/
ATOMIC_SPECIES
Pb 207.20 Pb.upf
Br 79.90 Br.upf
N 14.01 N.upf
ATOMIC_POSITIONS angstrom
Pb 1.108 1.529 1.429
Pb 7.753 9.197 6.026
Br 3.319 6.105 0.530
Br 3.325 1.436 3.728
Br 5.541 4.620 6.926
N 3.321 6.827 5.781
N 5.540 3.899 1.674
CELL_PARAMETERS angstrom
4.435 0.000 0.000
2.210 7.855 0.000
2.216 2.871 7.455
```

As for the space-group type: No. 2.

---

A geometry-optimized PbBr2N structure. Source: Alexandria via LeMat-Bulk, functional PBE-GGA. Values from VASP.

Cell and atoms, written as Quantum ESPRESSO input:
```
&SYSTEM
  ibrav = 0, nat = 4, ntyp = 3
/
ATOMIC_SPECIES
Pb 207.20 Pb.upf
Br 79.90 Br.upf
N 14.01 N.upf
ATOMIC_POSITIONS angstrom
Pb 0.000 0.000 0.000
Br 0.000 0.000 2.919
Br 0.000 0.000 23.658
N 0.000 0.000 13.289
CELL_PARAMETERS angstrom
1.833 1.058 8.859
-1.833 1.058 8.859
0.000 -2.116 8.859
```

The distance to the lowest polymorph of the same formula comes out at 2.28 eV/f.u. As for the space-group type: No. 166.

---

A geometry-optimized Pb2BrN structure. Source: Alexandria via LeMat-Bulk, functional PBE-GGA. Values from VASP.

Cell and atoms, written as Quantum ESPRESSO input:
```
&SYSTEM
  ibrav = 0, nat = 8, ntyp = 3
/
ATOMIC_SPECIES
Pb 207.20 Pb.upf
Br 79.90 Br.upf
N 14.01 N.upf
ATOMIC_POSITIONS angstrom
Pb 1.854 1.137 -1.000
Pb 2.570 -1.854 4.998
Pb 1.854 2.570 2.999
Pb 1.137 5.561 1.000
Br 3.707 0.000 1.999
Br 0.000 0.000 3.998
N 0.000 0.000 0.000
N 0.000 3.707 1.999
CELL_PARAMETERS angstrom
-3.707 3.707 3.998
3.707 -3.707 3.998
3.707 3.707 -3.998
```

The distance to the lowest polymorph of the same formula comes out at 0.00 eV/f.u. As for the space-group type: No. 122.

---

A geometry-optimized PbBr2N2 structure. Source: Alexandria via LeMat-Bulk, functional PBE-GGA. Values from VASP.

Cell and atoms, written as Quantum ESPRESSO input:
```
&SYSTEM
  ibrav = 0, nat = 10, ntyp = 3
/
ATOMIC_SPECIES
Pb 207.20 Pb.upf
Br 79.90 Br.upf
N 14.01 N.upf
ATOMIC_POSITIONS angstrom
Pb 0.000 0.000 0.000
Pb 3.739 3.739 0.000
Br 1.223 2.516 1.895
Br 2.516 6.254 1.895
Br 4.962 1.223 1.895
Br 6.254 4.962 1.895
N 1.855 1.884 0.000
N 1.884 5.622 0.000
N 5.593 1.855 0.000
N 5.622 5.593 0.000
CELL_PARAMETERS angstrom
7.477 0.000 0.000
0.000 7.477 0.000
0.000 0.000 3.791
```

The distance to the lowest polymorph of the same formula comes out at 8.88 eV/f.u. As for the space-group type: No. 127.

---

Number 1: uncorrected formation energy 0.63 eV/atom. Number 2: uncorrected formation energy 0.71 eV/atom. Number 3: uncorrected formation energy 0.85 eV/atom. Number 4: uncorrected formation energy 0.87 eV/atom. Number 5: uncorrected formation energy -0.55 eV/atom. Number 6: uncorrected formation energy 0.60 eV/atom. Number 7: uncorrected formation energy 0.52 eV/atom. Number 8: uncorrected formation energy -0.28 eV/atom. Number 9: uncorrected formation energy 0.78 eV/atom. Number 10: uncorrected formation energy 1.17 eV/atom. Number 11: uncorrected formation energy 0.11 eV/atom. Number 12: uncorrected formation energy 1.23 eV/atom.